(1)
Below is an optimized crystal structure of Tl2OsCl7, with properties calculated at the PBE level.

Output
Uncorrected energy   -0.261 Ry/atom
Calculated volume   34.82 Å³ per atom

Unit cell a=12.572 b=10.490 c=11.744 alpha=90.00 beta=115.92 gamma=90.00
Space group C2/c (No. 15)
Unique sites:
Tl: 0.124 0.175 0.158 (multiplicity 8)
Os: 0.000 0.180 0.750 (multiplicity 4)
Cl: 0.000 0.336 0.250 (multiplicity 4)
Cl: 0.113 0.333 0.891 (multiplicity 8)
Cl: 0.114 0.019 0.887 (multiplicity 8)
Cl: 0.126 0.177 0.652 (multiplicity 8)

---

(2)
Below is an optimized crystal structure of Tl6OsCl12, with properties calculated at the PBE level.

Output
Uncorrected energy   -0.240 Ry/atom
Calculated volume   34.74 Å³ per atom

Unit cell a=13.0219 b=13.0219 c=13.4825 alpha=90.00 beta=90.00 gamma=120.00
Space group R-3 (No. 148, hexagonal axes)
Unique sites:
Tl: 0.0432 0.2677 0.1153 (multiplicity 18)
Os: 0.0000 0.0000 0.5000 (multiplicity 3)
Cl: 0.0354 0.2178 0.8931 (multiplicity 18)
Cl: 0.0645 0.1677 0.4012 (multiplicity 18)